<i>
Ti3AlNi: relaxed, GGA-PBE.

Cell: 4.517 4.517 4.517 Å, 90.00 90.00 90.00°
Positions (direct):
Ti 0.000 0.000 0.500
Ti 0.000 0.500 0.000
Ti 0.500 0.000 0.000
Al 0.500 0.500 0.500
Ni 0.000 0.000 0.000

Calculated values
**Symmetry**: Pm-3m, No. 221
**Theoretical density**: 4132 kg/m³

<ii>
Ti3AlNi: relaxed, GGA-PBE.

Cell: 9.305 9.305 9.305 Å, 150.74 150.74 41.85°
Positions (direct):
Ti 0.127 0.378 0.749
Ti 0.214 0.214 0.000
Ti 0.622 0.371 0.749
Ti 0.622 0.873 0.251
Ti 0.629 0.378 0.251
Ti 0.786 0.786 0.000
Al 0.044 0.544 0.500
Al 0.456 0.956 0.500
Ni 0.500 0.500 0.000
Ni 0.750 0.250 0.500

Calculated values
**Symmetry**: I-4m2, No. 119
**Theoretical density**: 3966 kg/m³

Tell me which of them is the least stable. Sure, it is <ii>.

<i>
AlTl3Ni: relaxed, GGA-PBE.

Cell: 5.344 5.344 5.344 Å, 90.00 90.00 90.00°
Positions (direct):
Al 0.000 0.000 0.000
Tl 0.000 0.000 0.500
Tl 0.000 0.500 0.000
Tl 0.500 0.000 0.000
Ni 0.500 0.500 0.500

Calculated values
**Symmetry**: Pm-3m, No. 221
**Theoretical density**: 7602 kg/m³

<ii>
AlTl3Ni: relaxed, GGA-PBE.

Cell: 5.101 5.101 5.101 Å, 90.00 90.00 90.00°
Positions (direct):
Al 0.000 0.000 0.000
Tl 0.000 0.500 0.500
Tl 0.500 0.000 0.500
Tl 0.500 0.500 0.000
Ni 0.500 0.500 0.500

Calculated values
**Symmetry**: Pm-3m, No. 221
**Theoretical density**: 8743 kg/m³

Tell me which of them is the least stable. Sure, it is <i>.

<i>
Al2TlNi: relaxed, GGA-PBE.

Cell: 4.050 4.072 4.100 Å, 90.00 90.00 90.00°
Positions (direct):
Al 0.000 0.000 0.000
Al 0.000 0.500 0.500
Tl 0.500 0.000 0.500
Ni 0.500 0.500 0.000

Calculated values
**Symmetry**: Pmmm, No. 47
**Theoretical density**: 7786 kg/m³

<ii>
Al2TlNi: relaxed, GGA-PBE.

Cell: 4.133 4.133 5.826 Å, 108.54 108.54 59.63°
Positions (direct):
Al 0.200 0.200 0.111
Al 0.800 0.800 0.889
Tl 0.000 0.000 0.500
Ni 0.500 0.500 0.000

Calculated values
**Symmetry**: C2/m, No. 12
**Theoretical density**: 6588 kg/m³

<iii>
Al2TlNi: relaxed, GGA-PBE.

Cell: 4.632 4.632 4.632 Å, 60.00 60.00 60.00°
Positions (direct):
Al 0.250 0.250 0.250
Al 0.750 0.750 0.750
Tl 0.000 0.000 0.000
Ni 0.500 0.500 0.500

Calculated values
**Symmetry**: Fm-3m, No. 225
**Theoretical density**: 7494 kg/m³

<iv>
Al2TlNi: relaxed, GGA-PBE.

Cell: 3.002 3.463 7.031 Å, 90.00 90.00 90.00°
Positions (direct):
Al 0.000 0.000 0.000
Al 0.500 0.500 0.237
Tl 0.500 0.500 0.672
Ni 0.000 0.000 0.362

Calculated values
**Symmetry**: Pmm2, No. 25
**Theoretical density**: 7202 kg/m³

Tell me which of them is the least stable. Sure, it is <iii>.

<i>
Al2TlNi: relaxed, GGA-PBE.

Cell: 6.844 6.844 6.844 Å, 155.61 145.70 42.54°
Positions (direct):
Al 0.000 0.000 0.000
Al 0.661 0.161 0.500
Tl 0.356 0.356 0.000
Ni 0.153 0.653 0.500

Calculated values
**Symmetry**: Imm2, No. 44
**Theoretical density**: 7073 kg/m³

<ii>
Al2TlNi: relaxed, GGA-PBE.

Cell: 2.986 2.986 8.089 Å, 90.00 90.00 90.00°
Positions (direct):
Al 0.000 0.000 0.172
Al 0.000 0.000 0.828
Tl 0.500 0.500 0.500
Ni 0.500 0.500 0.000

Calculated values
**Symmetry**: P4/mmm, No. 123
**Theoretical density**: 7301 kg/m³

<iii>
Al2TlNi: relaxed, GGA-PBE.

Cell: 3.475 4.133 5.375 Å, 90.00 108.63 90.00°
Positions (direct):
Al 0.000 0.000 0.000
Al 0.438 0.500 0.877
Tl 0.725 0.000 0.465
Ni 0.117 0.500 0.238

Calculated values
**Symmetry**: Pm, No. 6
**Theoretical density**: 7197 kg/m³

Tell me which of them is the least stable. Sure, it is <iii>.

<i>
Al2TlNi: relaxed, GGA-PBE.

Cell: 5.635 5.635 3.046 Å, 103.33 103.33 123.03°
Positions (direct):
Al 0.000 0.500 0.000
Al 0.500 0.000 0.000
Tl 0.000 0.000 0.000
Ni 0.500 0.500 0.000

Calculated values
**Symmetry**: C2/m, No. 12
**Theoretical density**: 7417 kg/m³

<ii>
Al2TlNi: relaxed, GGA-PBE.

Cell: 4.505 4.505 6.528 Å, 108.95 108.95 38.67°
Positions (direct):
Al 0.000 0.000 0.000
Al 0.199 0.199 0.711
Tl 0.835 0.835 0.318
Ni 0.477 0.477 0.705

Calculated values
**Symmetry**: Cm, No. 8
**Theoretical density**: 6772 kg/m³

<iii>
Al2TlNi: relaxed, GGA-PBE.

Cell: 4.644 4.644 4.644 Å, 60.00 60.00 60.00°
Positions (direct):
Al 0.000 0.000 0.000
Al 0.250 0.250 0.250
Tl 0.500 0.500 0.500
Ni 0.750 0.750 0.750

Calculated values
**Symmetry**: F-43m, No. 216
**Theoretical density**: 7432 kg/m³

Tell me which of them is the least stable. Sure, it is <iii>.

<i>
Al2TlNi: relaxed, GGA-PBE.

Cell: 9.047 9.047 9.047 Å, 152.77 152.77 38.89°
Positions (direct):
Al 0.059 0.625 0.934
Al 0.375 0.309 0.434
Al 0.691 0.125 0.066
Al 0.875 0.941 0.566
Tl 0.250 0.750 0.500
Tl 0.500 0.500 0.000
Ni 0.000 0.000 0.000
Ni 0.750 0.250 0.500

Calculated values
**Symmetry**: I-42d, No. 122
**Theoretical density**: 6803 kg/m³

<ii>
Al2TlNi: relaxed, GGA-PBE.

Cell: 8.591 8.591 8.591 Å, 21.15 21.15 21.15°
Positions (direct):
Al 0.232 0.232 0.232
Al 0.768 0.768 0.768
Tl 0.000 0.000 0.000
Ni 0.500 0.500 0.500

Calculated values
**Symmetry**: R-3m, No. 166
**Theoretical density**: 7283 kg/m³

Tell me which of them is the least stable. Sure, it is <i>.

<i>
AlTlNi2: relaxed, GGA-PBE.

Cell: 4.315 4.315 3.134 Å, 90.00 90.00 90.00°
Positions (direct):
Al 0.000 0.000 0.000
Tl 0.500 0.500 0.000
Ni 0.000 0.500 0.500
Ni 0.500 0.000 0.500

Calculated values
**Symmetry**: P4/mmm, No. 123
**Theoretical density**: 9925 kg/m³

<ii>
AlTlNi2: relaxed, GGA-PBE.

Cell: 8.692 8.692 8.692 Å, 152.21 152.21 39.71°
Positions (direct):
Al 0.000 0.000 0.000
Al 0.750 0.250 0.500
Tl 0.250 0.750 0.500
Tl 0.500 0.500 0.000
Ni 0.023 0.625 0.898
Ni 0.375 0.273 0.398
Ni 0.727 0.125 0.102
Ni 0.875 0.977 0.602

Calculated values
**Symmetry**: I-42d, No. 122
**Theoretical density**: 8128 kg/m³

<iii>
AlTlNi2: relaxed, GGA-PBE.

Cell: 4.126 4.126 5.730 Å, 99.52 99.52 40.98°
Positions (direct):
Al 0.000 0.000 0.000
Tl 0.500 0.500 0.500
Ni 0.260 0.260 0.811
Ni 0.740 0.740 0.189

Calculated values
**Symmetry**: C2/m, No. 12
**Theoretical density**: 9195 kg/m³

Tell me which of them is the least stable. Sure, it is <ii>.

<i>
AlTlNi2: relaxed, GGA-PBE.

Cell: 8.191 8.191 8.191 Å, 21.01 21.01 21.01°
Positions (direct):
Al 0.000 0.000 0.000
Tl 0.500 0.500 0.500
Ni 0.259 0.259 0.259
Ni 0.741 0.741 0.741

Calculated values
**Symmetry**: R-3m, No. 166
**Theoretical density**: 9366 kg/m³

<ii>
AlTlNi2: relaxed, GGA-PBE.

Cell: 4.852 4.852 4.365 Å, 104.49 104.49 36.97°
Positions (direct):
Al 0.000 0.000 0.000
Tl 0.770 0.770 0.364
Ni 0.270 0.270 0.864
Ni 0.523 0.523 0.559

Calculated values
**Symmetry**: Cm, No. 8
**Theoretical density**: 9713 kg/m³

<iii>
AlTlNi2: relaxed, GGA-PBE.

Cell: 3.009 3.009 6.471 Å, 90.00 90.00 90.00°
Positions (direct):
Al 0.000 0.000 0.000
Tl 0.000 0.000 0.500
Ni 0.500 0.500 0.203
Ni 0.500 0.500 0.797

Calculated values
**Symmetry**: P4/mmm, No. 123
**Theoretical density**: 9882 kg/m³

<iv>
AlTlNi2: relaxed, GGA-PBE.

Cell: 4.346 4.346 4.346 Å, 60.00 60.00 60.00°
Positions (direct):
Al 0.000 0.000 0.000
Tl 0.500 0.500 0.500
Ni 0.250 0.250 0.250
Ni 0.750 0.750 0.750

Calculated values
**Symmetry**: Fm-3m, No. 225
**Theoretical density**: 9981 kg/m³

Tell me which of them is the least stable. Sure, it is <i>.